# 1
DFT (GGA-PBE) results for crystalline LiPaGeRh at its relaxed geometry.

Cell lengths 6.5381, 6.5381, 6.5381 Å; angles 90.00, 90.00, 90.00 degrees
With the nearest neighbours (Å) after each atom.
Fractional positions:
Li: 0.0000 0.0000 0.0000  4 Pa 2.83, 4 Ge 2.83
Li: 0.0000 0.5000 0.5000  4 Pa 2.83, 4 Ge 2.83
Li: 0.5000 0.0000 0.5000  4 Pa 2.83, 4 Ge 2.83
Li: 0.5000 0.5000 0.0000  4 Pa 2.83, 4 Ge 2.83
Pa: 0.2500 0.2500 0.2500  4 Rh 2.83, 4 Li 2.83
Pa: 0.2500 0.7500 0.7500  4 Li 2.83, 4 Rh 2.83
Pa: 0.7500 0.2500 0.7500  4 Li 2.83, 4 Rh 2.83
Pa: 0.7500 0.7500 0.2500  4 Li 2.83, 4 Rh 2.83
Ge: 0.2500 0.2500 0.7500  4 Li 2.83, 4 Rh 2.83
Ge: 0.2500 0.7500 0.2500  4 Li 2.83, 4 Rh 2.83
Ge: 0.7500 0.2500 0.2500  4 Li 2.83, 4 Rh 2.83
Ge: 0.7500 0.7500 0.7500  4 Li 2.83, 4 Rh 2.83
Rh: 0.0000 0.0000 0.5000  4 Ge 2.83, 4 Pa 2.83
Rh: 0.0000 0.5000 0.0000  4 Ge 2.83, 4 Pa 2.83
Rh: 0.5000 0.0000 0.0000  4 Ge 2.83, 4 Pa 2.83
Rh: 0.5000 0.5000 0.5000  4 Ge 2.83, 4 Pa 2.83

For the magnetization, the calculation gives 2.7 Bohr magnetons per cell. The calculation puts the density at 9.83 g/cm³. The value obtained for the total energy is -6.307 eV/atom. Its space group is F-43m. Its crystal system is cubic.



# 2
DFT (GGA-PBE) results for crystalline Tm4Ni2Ru at its relaxed geometry.

Cell lengths 10.5213, 4.2798, 8.2251 Å; angles 90.00, 126.14, 90.00 degrees
With the nearest neighbours (Å) after each atom.
Fractional positions:
Tm: 0.0846 0.0000 0.3764  1 Ru 2.67, 2 Ni 2.89
Tm: 0.1880 0.5000 0.0877  2 Ru 2.71, 2 Ni 2.82
Tm: 0.3120 0.0000 0.9123  2 Ru 2.71, 2 Ni 2.82
Tm: 0.4154 0.5000 0.6236  1 Ru 2.67, 2 Ni 2.89
Tm: 0.5846 0.5000 0.3764  1 Ru 2.67, 2 Ni 2.89
Tm: 0.6880 0.0000 0.0877  2 Ru 2.71, 2 Ni 2.82
Tm: 0.8120 0.5000 0.9123  2 Ru 2.71, 2 Ni 2.82
Tm: 0.9154 0.0000 0.6236  1 Ru 2.67, 2 Ni 2.89
Ni: 0.1402 0.5000 0.6476  1 Ni 2.48
Ni: 0.3598 0.0000 0.3524  1 Ni 2.48
Ni: 0.6402 0.0000 0.6476  1 Ni 2.48
Ni: 0.8598 0.5000 0.3524  1 Ni 2.48
Ru: 0.0000 0.0000 0.0000  6 Tm 2.67-2.71
Ru: 0.5000 0.5000 0.0000  6 Tm 2.67-2.71

For the magnetization, the calculation gives 0.0 Bohr magnetons per cell. The calculation puts the density at 9.93 g/cm³. As for the energy above the most stable polymorph in this dataset: 0.0 meV per atom. Its space group is C2/m. Its crystal system is monoclinic.



Question: Look up the magnetization of the second one.
Answer: 0.0 Bohr magnetons per cell



Repeat the second record exactly.
DFT (GGA-PBE) results for crystalline Tm4Ni2Ru at its relaxed geometry.

Cell lengths 10.5213, 4.2798, 8.2251 Å; angles 90.00, 126.14, 90.00 degrees
With the nearest neighbours (Å) after each atom.
Fractional positions:
Tm: 0.0846 0.0000 0.3764  1 Ru 2.67, 2 Ni 2.89
Tm: 0.1880 0.5000 0.0877  2 Ru 2.71, 2 Ni 2.82
Tm: 0.3120 0.0000 0.9123  2 Ru 2.71, 2 Ni 2.82
Tm: 0.4154 0.5000 0.6236  1 Ru 2.67, 2 Ni 2.89
Tm: 0.5846 0.5000 0.3764  1 Ru 2.67, 2 Ni 2.89
Tm: 0.6880 0.0000 0.0877  2 Ru 2.71, 2 Ni 2.82
Tm: 0.8120 0.5000 0.9123  2 Ru 2.71, 2 Ni 2.82
Tm: 0.9154 0.0000 0.6236  1 Ru 2.67, 2 Ni 2.89
Ni: 0.1402 0.5000 0.6476  1 Ni 2.48
Ni: 0.3598 0.0000 0.3524  1 Ni 2.48
Ni: 0.6402 0.0000 0.6476  1 Ni 2.48
Ni: 0.8598 0.5000 0.3524  1 Ni 2.48
Ru: 0.0000 0.0000 0.0000  6 Tm 2.67-2.71
Ru: 0.5000 0.5000 0.0000  6 Tm 2.67-2.71

For the magnetization, the calculation gives 0.0 Bohr magnetons per cell. The calculation puts the density at 9.93 g/cm³. As for the energy above the most stable polymorph in this dataset: 0.0 meV per atom. Its space group is C2/m. Its crystal system is monoclinic.